No. 1
## CaTc2AgO8 (PBE)

Data for CaTc2AgO8 after structural relaxation.

Cell lengths 6.0620, 6.0620, 6.6586 Å; angles 90.00, 90.00, 120.00 degrees
Atoms (fractional coordinates):
Ca: 0.0000 0.0000 0.0000
Tc: 0.3333 0.6667 0.3049
Tc: 0.6667 0.3333 0.6951
Ag: 0.0000 0.0000 0.5000
O: 0.1720 0.3439 0.2251
O: 0.1720 0.8280 0.2251
O: 0.3333 0.6667 0.5649
O: 0.3439 0.1720 0.7749
O: 0.6561 0.8280 0.2251
O: 0.6667 0.3333 0.4351
O: 0.8280 0.1720 0.7749
O: 0.8280 0.6561 0.7749

The uncorrected energy comes out at -6.96 eV/atom.

***

No. 2
## Ca2TcAgO6 (PBE)

Data for Ca2TcAgO6 after structural relaxation.

Cell lengths 6.0522, 6.0522, 6.0522 Å; angles 56.52, 56.52, 56.52 degrees
Atoms (fractional coordinates):
Ca: 0.0000 0.0000 0.0000
Ca: 0.4957 0.4957 0.4957
Tc: 0.6993 0.6993 0.6993
Ag: 0.2459 0.2459 0.2459
O: 0.0301 0.4686 0.7749
O: 0.3475 0.8752 0.6158
O: 0.4686 0.7749 0.0301
O: 0.6158 0.3475 0.8752
O: 0.7749 0.0301 0.4686
O: 0.8752 0.6158 0.3475

The uncorrected energy comes out at -6.52 eV/atom.

***

No. 3
## CaTcAg2O6 (PBE)

Data for CaTcAg2O6 after structural relaxation.

Cell lengths 6.2706, 6.2706, 5.9970 Å; angles 90.00, 90.00, 120.00 degrees
Atoms (fractional coordinates):
Ca: 0.0000 0.0000 0.0000
Tc: 0.0000 0.0000 0.5000
Ag: 0.3333 0.6667 0.6727
Ag: 0.6667 0.3333 0.3273
O: 0.1387 0.2774 0.6952
O: 0.1387 0.8613 0.6952
O: 0.2774 0.1387 0.3048
O: 0.7226 0.8613 0.6952
O: 0.8613 0.1387 0.3048
O: 0.8613 0.7226 0.3048

The uncorrected energy comes out at -5.82 eV/atom.

***

No. 4
## Ca2TcAg2O6 (PBE)

Data for Ca2TcAg2O6 after structural relaxation.

Cell lengths 5.6434, 5.6434, 6.3166 Å; angles 103.49, 103.49, 117.19 degrees
Atoms (fractional coordinates):
Ca: 0.1624 0.8376 0.0000
Ca: 0.8376 0.1624 0.0000
Tc: 0.5000 0.5000 0.0000
Ag: 0.3084 0.6916 0.5000
Ag: 0.6916 0.3084 0.5000
O: 0.1218 0.4115 0.8129
O: 0.3251 0.3251 0.2062
O: 0.4115 0.1218 0.8129
O: 0.5885 0.8782 0.1871
O: 0.6749 0.6749 0.7938
O: 0.8782 0.5885 0.1871

The uncorrected energy comes out at -6.03 eV/atom.

***

No. 5
## CaTcAgO4 (PBE)

Data for CaTcAgO4 after structural relaxation.

Cell lengths 6.1268, 6.4035, 6.8299 Å; angles 90.00, 110.38, 90.00 degrees
Atoms (fractional coordinates):
Ca: 0.2010 0.2500 0.0361
Ca: 0.7990 0.7500 0.9639
Tc: 0.2306 0.7500 0.8008
Tc: 0.7694 0.2500 0.1992
Ag: 0.4344 0.7500 0.3601
Ag: 0.5656 0.2500 0.6399
O: 0.0490 0.5268 0.8071
O: 0.0490 0.9732 0.8071
O: 0.4575 0.7500 0.6729
O: 0.4718 0.7500 0.0654
O: 0.5282 0.2500 0.9346
O: 0.5425 0.2500 0.3271
O: 0.9510 0.0268 0.1929
O: 0.9510 0.4732 0.1929

The uncorrected energy comes out at -6.47 eV/atom.

***

No. 6
## Ca2TlAgO5 (PBE)

Data for Ca2TlAgO5 after structural relaxation.

Cell lengths 6.8309, 6.8309, 11.5258 Å; angles 90.00, 90.00, 150.88 degrees
Atoms (fractional coordinates):
Ca: 0.0739 0.9261 0.5000
Ca: 0.1575 0.8425 0.0867
Ca: 0.8425 0.1575 0.5867
Ca: 0.9261 0.0739 0.0000
Tl: 0.2369 0.7631 0.8399
Tl: 0.7631 0.2369 0.3399
Ag: 0.4636 0.5364 0.2706
Ag: 0.5364 0.4636 0.7706
O: 0.0779 0.9221 0.8984
O: 0.2497 0.7503 0.4865
O: 0.3113 0.6887 0.2107
O: 0.4017 0.5983 0.8538
O: 0.4736 0.5264 0.6032
O: 0.5264 0.4736 0.1032
O: 0.5983 0.4017 0.3538
O: 0.6887 0.3113 0.7107
O: 0.7503 0.2497 0.9865
O: 0.9221 0.0779 0.3984

The uncorrected energy comes out at -5.18 eV/atom.

***

no.,raw formation energy (eV/atom)
1,-1.526
2,-1.824
3,-1.035
4,-1.505
5,-1.464
6,-1.400